Below is a geometry-optimized Ni3AgPd12 structure, with properties calculated at the PBE level.

Cell lengths 3.9136, 3.9136, 15.5152 Å; angles 90.00, 90.00, 90.00 degrees
With the nearest neighbours (Å) after each atom.
Space group P4/mmm (No. 123)
Symmetry-distinct sites (fractional):
Ni1 0.0000 0.0000 0.0000  12 Pd 2.73-2.77
Ni2 0.0000 0.0000 0.2454  12 Pd 2.72-2.77
Ag1 0.0000 0.0000 0.5000  12 Pd 2.77-2.85
Pd1 0.0000 0.5000 0.1225  8 Pd 2.73-2.77, 4 Ni 2.73
Pd2 0.0000 0.5000 0.3667  2 Ni 2.72, 8 Pd 2.72-2.85, 2 Ag 2.85
Pd3 0.5000 0.5000 0.0000  8 Pd 2.73, 4 Ni 2.77
Pd4 0.5000 0.5000 0.2447  8 Pd 2.72-2.73, 4 Ni 2.77
Pd5 0.5000 0.5000 0.5000  4 Ag 2.77, 8 Pd 2.85

Computed properties:
- Total DFT energy (no corrections): -81.9 eV/cell
- Calculated density: 10908 kg/m3